(1)
Density functional theory data (GGA-PBE) for an optimized crystal structure of Dy2ErFe9.

Properties
- ΔE_f (eV per atom) = -0.075

Cell and atoms, written as extended XYZ:
```
12
Lattice="2.515 1.452 8.036 -2.515 1.452 8.036 0.000 -2.904 8.036" Properties=species:S:1:pos:R:3 pbc="T T T"
Dy 0.000 0.000 3.419
Dy 0.000 0.000 20.690
Er 0.000 0.000 0.000
Fe -1.256 -0.725 9.993
Fe 0.000 0.000 8.021
Fe 0.000 -1.450 14.116
Fe -1.256 0.725 14.116
Fe 0.000 0.000 12.054
Fe 1.256 -0.725 9.993
Fe 0.000 1.450 9.993
Fe 0.000 0.000 16.087
Fe 1.256 0.725 14.116
```

(2)
Density functional theory data (GGA-PBE) for an optimized crystal structure of DyErFe.

Properties
- ΔE_f (eV per atom) = 0.190

Cell and atoms, written as extended XYZ:
```
3
Lattice="0.000 3.287 3.287 3.287 0.000 3.287 3.287 3.287 0.000" Properties=species:S:1:pos:R:3 pbc="T T T"
Dy 0.000 0.000 0.000
Er 3.287 3.287 3.287
Fe 1.644 1.644 1.644
```

(3)
Density functional theory data (GGA-PBE) for an optimized crystal structure of DyErGa2Fe4.

Properties
- final energy (eV/atom) = -6.2347

Cell and atoms, written as extended XYZ:
```
8
Lattice="4.178 0.000 0.000 -2.089 3.618 0.000 0.000 0.000 9.241" Properties=species:S:1:pos:R:3 pbc="T T T"
Dy 0.000 0.000 0.000
Er 2.089 1.206 4.621
Ga 0.000 2.412 2.324
Ga 0.000 2.412 6.918
Fe 0.000 0.000 2.726
Fe 0.000 0.000 6.515
Fe 2.089 1.206 1.928
Fe 2.089 1.206 7.314
```

(4)
Density functional theory data (GGA-PBE) for an optimized crystal structure of DyErFeGe2.

Properties
- final energy (eV/atom) = -6.0176

Cell and atoms, written as extended XYZ:
```
10
Lattice="5.261 -2.097 0.000 5.261 2.097 0.000 -4.798 0.000 8.980" Properties=species:S:1:pos:R:3 pbc="T T T"
Dy 1.439 0.000 1.003
Dy 4.284 0.000 7.977
Er -1.540 0.000 2.982
Er 7.264 0.000 5.998
Fe -0.156 0.000 5.739
Fe 5.879 0.000 3.241
Ge 1.574 0.000 3.910
Ge 4.537 0.000 1.131
Ge 1.186 0.000 7.849
Ge 4.150 0.000 5.071
```

It is found that the calculated density values, taken in the order of the records, are 9.38; 9.01; 8.23; 8.90 g cm⁻³.